VASP calculation (GGA-PBE) on crystalline LiLaZn2Pd at its relaxed geometry.

Computed properties:
Calculated formation energy in kJ/mol of formula units: -125
Theoretical density in g/cm3: 5.858
Crystal system: tetragonal

Lattice parameters (Å, degrees): 4.879 4.879 4.562 90.00 90.00 90.00
Space group P4/mmm (No. 123)
Inequivalent atoms, fractional coordinates:
Li 0.000 0.000 0.000 [1 per cell]
La 0.500 0.500 0.000 [1 per cell]
Zn 0.000 0.500 0.500 [2 per cell]
Pd 0.000 0.000 0.500 [1 per cell]